1.
TbPmNd2S6, relaxed, DFT PBE-GGA; magnetization = 0.000 μB/atom; energy = -63.94 eV/cell; formation energy (no corrections) = -2026 meV per atom
1.0
3.562 2.057 6.269
-3.562 2.057 6.269
0.000 -4.113 6.269
Tb Pm Nd S
1 1 2 6
direct
0.000 0.000 0.000 Tb
0.502 0.502 0.502 Pm
0.296 0.296 0.296 Nd
0.794 0.794 0.794 Nd
0.108 0.386 0.707 S
0.198 0.895 0.611 S
0.386 0.707 0.108 S
0.611 0.198 0.895 S
0.707 0.108 0.386 S
0.895 0.611 0.198 S

2.
PmPd7, relaxed, DFT PBE-GGA; ΔH_f (0 K) = -38 kJ/mol of atoms; magnetization = 0.000 μB/atom; energy = -44.22 eV/cell
1.0
0.000 4.065 4.065
4.065 0.000 4.065
4.065 4.065 0.000
Pm Pd
1 7
direct
0.000 0.000 0.000 Pm
0.000 0.000 0.500 Pd
0.000 0.500 0.000 Pd
0.000 0.500 0.500 Pd
0.500 0.000 0.000 Pd
0.500 0.000 0.500 Pd
0.500 0.500 0.000 Pd
0.500 0.500 0.500 Pd

3.
CsCaBi2Ru, relaxed, DFT PBE-GGA; ΔH_f (0 K) = 30 kJ/mol of atoms; magnetization = 0.000 μB/atom; energy = -18.32 eV/cell
1.0
5.494 0.000 0.000
0.000 5.494 0.000
0.000 0.000 5.594
Cs Ca Bi Ru
1 1 2 1
direct
0.000 0.000 0.000 Cs
0.500 0.500 0.000 Ca
0.000 0.500 0.500 Bi
0.500 0.000 0.500 Bi
0.000 0.000 0.500 Ru

Number 1: V 276 Å³ per cell, D(E_F) 0.00 states/eV/f.u.. Number 2: V 134 Å³ per cell, D(E_F) 10.46 states/eV/f.u.. Number 3: V 169 Å³ per cell, D(E_F) 4.25 states/eV/f.u..